[1]
# Tl3VHg

A relaxed Tl3VHg crystal (PBE, Alexandria).

Space-group type = Pm-3m, No. 221
VASP energy = -2.331 eV per atom
Density = 7.878 g cm⁻³

The structure in CIF format:
```
data_Tl3VHg
_chemical_formula_sum 'Tl3 V1 Hg1'
_cell_length_a 5.670
_cell_length_b 5.670
_cell_length_c 5.670
_cell_angle_alpha 90.00
_cell_angle_beta 90.00
_cell_angle_gamma 90.00
_symmetry_space_group_name_H-M 'P 1'
_symmetry_Int_Tables_number 1
loop_
_symmetry_equiv_pos_as_xyz
'x,y,z'
loop_
_atom_site_label
_atom_site_type_symbol
_atom_site_fract_x
_atom_site_fract_y
_atom_site_fract_z
Tl1 Tl 0.000 0.500 0.000
Tl2 Tl 0.000 0.000 0.500
Tl3 Tl 0.500 0.000 0.000
Hg1 Hg 0.000 0.000 0.000
V1 V 0.500 0.500 0.500
```

[2]
# Tl2VHg

A relaxed Tl2VHg crystal (PBE, Alexandria).

Space-group type = Fm-3m, No. 225
VASP energy = -3.011 eV per atom
Density = 11.372 g cm⁻³

The structure in CIF format:
```
data_Tl2VHg
_chemical_formula_sum 'Tl2 V1 Hg1'
_cell_length_a 5.147
_cell_length_b 5.147
_cell_length_c 5.147
_cell_angle_alpha 60.00
_cell_angle_beta 60.00
_cell_angle_gamma 60.00
_symmetry_space_group_name_H-M 'P 1'
_symmetry_Int_Tables_number 1
loop_
_symmetry_equiv_pos_as_xyz
'x,y,z'
loop_
_atom_site_label
_atom_site_type_symbol
_atom_site_fract_x
_atom_site_fract_y
_atom_site_fract_z
Tl1 Tl 0.250 0.250 0.250
Tl2 Tl 0.750 0.750 0.750
Hg1 Hg 0.500 0.500 0.500
V1 V 0.000 0.000 0.000
```

[3]
# TlVHg2

A relaxed TlVHg2 crystal (PBE, Alexandria).

Space-group type = I-42d, No. 122
VASP energy = -2.549 eV per atom
Density = 11.071 g cm⁻³

The structure in CIF format:
```
data_TlVHg2
_chemical_formula_sum 'Tl2 V2 Hg4'
_cell_length_a 8.163
_cell_length_b 8.163
_cell_length_c 6.485
_cell_angle_alpha 51.00
_cell_angle_beta 51.00
_cell_angle_gamma 90.00
_symmetry_space_group_name_H-M 'P 1'
_symmetry_Int_Tables_number 1
loop_
_symmetry_equiv_pos_as_xyz
'x,y,z'
loop_
_atom_site_label
_atom_site_type_symbol
_atom_site_fract_x
_atom_site_fract_y
_atom_site_fract_z
Tl1 Tl 0.000 0.000 0.000
Tl2 Tl 0.750 0.250 0.500
Hg1 Hg 0.589 0.125 0.250
Hg2 Hg 0.161 0.625 0.250
Hg3 Hg 0.375 0.411 0.750
Hg4 Hg 0.875 0.839 0.750
V1 V 0.500 0.500 0.000
V2 V 0.250 0.750 0.500
```

[4]
# TlVHgW2

A relaxed TlVHgW2 crystal (PBE, Alexandria).

Space-group type = P4/mmm, No. 123
VASP energy = -4.560 eV per atom
Density = 10.669 g cm⁻³

The structure in CIF format:
```
data_TlVHgW2
_chemical_formula_sum 'Tl1 V1 Hg1 W2'
_cell_length_a 5.025
_cell_length_b 5.077
_cell_length_c 5.025
_cell_angle_alpha 90.00
_cell_angle_beta 90.00
_cell_angle_gamma 90.00
_symmetry_space_group_name_H-M 'P 1'
_symmetry_Int_Tables_number 1
loop_
_symmetry_equiv_pos_as_xyz
'x,y,z'
loop_
_atom_site_label
_atom_site_type_symbol
_atom_site_fract_x
_atom_site_fract_y
_atom_site_fract_z
Tl1 Tl 0.000 0.500 0.000
Hg1 Hg 0.000 0.000 0.000
W1 W 0.000 0.000 0.500
W2 W 0.500 0.000 0.000
V1 V 0.500 0.500 0.500
```

[5]
# Tl2VZnHg

A relaxed Tl2VZnHg crystal (PBE, Alexandria).

Space-group type = P4/mmm, No. 123
VASP energy = -1.921 eV per atom
Density = 6.957 g cm⁻³

The structure in CIF format:
```
data_Tl2VZnHg
_chemical_formula_sum 'Tl2 V1 Zn1 Hg1'
_cell_length_a 5.752
_cell_length_b 5.235
_cell_length_c 5.752
_cell_angle_alpha 90.00
_cell_angle_beta 90.00
_cell_angle_gamma 90.00
_symmetry_space_group_name_H-M 'P 1'
_symmetry_Int_Tables_number 1
loop_
_symmetry_equiv_pos_as_xyz
'x,y,z'
loop_
_atom_site_label
_atom_site_type_symbol
_atom_site_fract_x
_atom_site_fract_y
_atom_site_fract_z
Zn1 Zn 0.500 0.500 0.500
Tl1 Tl 0.000 0.000 0.500
Tl2 Tl 0.500 0.000 0.000
Hg1 Hg 0.000 0.000 0.000
V1 V 0.000 0.500 0.000
```

[6]
# TlHgW4

A relaxed TlHgW4 crystal (PBE, Alexandria).

Space-group type = F-43m, No. 216
VASP energy = -8.160 eV per atom
Density = 16.676 g cm⁻³

The structure in CIF format:
```
data_TlHgW4
_chemical_formula_sum 'Tl1 Hg1 W4'
_cell_length_a 5.435
_cell_length_b 5.435
_cell_length_c 5.435
_cell_angle_alpha 60.00
_cell_angle_beta 60.00
_cell_angle_gamma 60.00
_symmetry_space_group_name_H-M 'P 1'
_symmetry_Int_Tables_number 1
loop_
_symmetry_equiv_pos_as_xyz
'x,y,z'
loop_
_atom_site_label
_atom_site_type_symbol
_atom_site_fract_x
_atom_site_fract_y
_atom_site_fract_z
Tl1 Tl 0.000 0.000 0.000
Hg1 Hg 0.750 0.750 0.750
W1 W 0.872 0.376 0.376
W2 W 0.376 0.376 0.872
W3 W 0.376 0.872 0.376
W4 W 0.376 0.376 0.376
```